No. 1
LiMo2Ru after structural relaxation, computed with PBE.

For the polymorph energy (0 for the lowest one), the calculation gives 72 meV per atom. For the electronic total energy, the calculation gives -31.72 eV/cell. Its formation energy from the elements is 1.137 eV/f.u.

It has space group P4mm (No. 99), with a = 3.189 Å, b = 3.189 Å, c = 5.617 Å, α = 90.00°, β = 90.00° and γ = 90.00°. Symmetry generates all atoms from Li at (0.000, 0.000, 0.000), Mo at (0.000, 0.000, 0.509), Mo at (0.500, 0.500, 0.248) and Ru at (0.500, 0.500, 0.785).


No. 2
LiMoRu after structural relaxation, computed with PBE.

For the polymorph energy (0 for the lowest one), the calculation gives 110 meV per atom. For the electronic total energy, the calculation gives -84.83 eV/cell. Its formation energy from the elements is 0.813 eV/f.u.

It has space group Fmm2 (No. 42), with a = 2.948 Å, b = 4.440 Å, c = 13.795 Å, α = 90.00°, β = 90.00° and γ = 90.00°. Symmetry generates all atoms from Li at (0.000, 0.000, 0.000), Mo at (0.000, 0.000, 0.320) and Ru at (0.000, 0.000, 0.663).